[1]
This record from Alexandria describes crystalline KEuSe at its relaxed geometry. The functional is PBE.

It has space group P3m1 (No. 156), with a = 4.4717 Å, b = 4.4717 Å, c = 7.7273 Å, α = 90.00°, β = 90.00° and γ = 120.00°. The distinct sites, in fractional coordinates, are K at (0.0000, 0.0000, 0.0000), Eu at (0.6667, 0.3333, 0.4635) and Se at (0.3333, 0.6667, 0.2776).

The density comes out at 3.351 g cm⁻³. The density of states at the Fermi level is 12.3 states/eV/f.u. Its raw formation energy is -25.6 kcal/mol of atoms. The value obtained for the total magnetization is 7.2 μB per formula unit. As for the total energy: -18.19 eV for the cell shown.


[2]
This record from Alexandria describes crystalline KEu2Se at its relaxed geometry. The functional is PBE.

It has space group R-3m (No. 166, hexagonal axes), with a = 4.1914 Å, b = 4.1914 Å, c = 35.1143 Å, α = 90.00°, β = 90.00° and γ = 120.00°. The distinct sites, in fractional coordinates, are K at (0.0000, 0.0000, 0.0000), Eu at (0.0000, 0.0000, 0.1153) and Se at (0.0000, 0.0000, 0.5000).

The density comes out at 3.935 g cm⁻³. The density of states at the Fermi level is 3.2 states/eV/f.u. Its raw formation energy is -19.1 kcal/mol of atoms. The value obtained for the total magnetization is 14.9 μB per formula unit. As for the total energy: -85.32 eV for the cell shown.


[3]
This record from Alexandria describes crystalline K2EuSiSe5 at its relaxed geometry. The functional is PBE.

It has space group P2_1/c (No. 14), with a = 11.747 Å, b = 10.009 Å, c = 8.997 Å, α = 90.00°, β = 91.16° and γ = 90.00°. The distinct sites, in fractional coordinates, are K at (0.050, 0.199, 0.037), K at (0.200, 0.552, 0.870), Eu at (0.485, 0.226, 0.104), Si at (0.254, 0.021, 0.796), Se at (0.076, 0.510, 0.195), Se at (0.251, 0.631, 0.492), Se at (0.288, 0.238, 0.862), Se at (0.403, 0.533, 0.141) and Se at (0.419, 0.565, 0.667).

The density comes out at 4.101 g cm⁻³. The density of states at the Fermi level is 6.8 states/eV/f.u. Its raw formation energy is -25.3 kcal/mol of atoms. The value obtained for the total magnetization is 7.0 μB per formula unit. As for the total energy: -180.80 eV for the cell shown.


[4]
This record from Alexandria describes crystalline KSmEu2 at its relaxed geometry. The functional is PBE.

It has space group R-3m (No. 166, hexagonal axes), with a = 3.8351 Å, b = 3.8351 Å, c = 42.0817 Å, α = 90.00°, β = 90.00° and γ = 120.00°. The distinct sites, in fractional coordinates, are K at (0.0000, 0.0000, 0.0000), Sm at (0.0000, 0.0000, 0.5000) and Eu at (0.0000, 0.0000, 0.0945).

The density comes out at 4.586 g cm⁻³. The density of states at the Fermi level is 12.4 states/eV/f.u. As for the excess energy over the best structure of this formula in the dataset: 2.3 kJ/mol of atoms. The value obtained for the total magnetization is 15.8 μB per formula unit. As for the formation energy: 171 meV/atom. As for the total energy: -77.05 eV for the cell shown.


[5]
This record from Alexandria describes crystalline KSmEu2 at its relaxed geometry. The functional is PBE.

It has space group P4/mmm (No. 123), with a = 3.841 Å, b = 3.841 Å, c = 12.250 Å, α = 90.00°, β = 90.00° and γ = 90.00°. The distinct sites, in fractional coordinates, are K at (0.000, 0.000, 0.000), Sm at (0.000, 0.000, 0.500) and Eu at (0.500, 0.500, 0.289).

The density comes out at 4.534 g cm⁻³. The density of states at the Fermi level is 17.3 states/eV/f.u. As for the excess energy over the best structure of this formula in the dataset: 0.0 kJ/mol of atoms. The value obtained for the total magnetization is 15.6 μB per formula unit. As for the formation energy: 147 meV/atom. As for the total energy: -25.78 eV for the cell shown.


[6]
This record from Alexandria describes crystalline KEu2Sn at its relaxed geometry. The functional is PBE.

It has space group P4/mmm (No. 123), with a = 3.985 Å, b = 3.985 Å, c = 10.780 Å, α = 90.00°, β = 90.00° and γ = 90.00°. The distinct sites, in fractional coordinates, are K at (0.000, 0.000, 0.000), Eu at (0.500, 0.500, 0.327) and Sn at (0.000, 0.000, 0.500).

The density comes out at 4.480 g cm⁻³. The density of states at the Fermi level is 2.9 states/eV/f.u. The value obtained for the total magnetization is 14.7 μB per formula unit. As for the formation energy: -268 meV/atom. As for the total energy: -26.72 eV for the cell shown.


- What is the total magnetization in the sixth record?
  14.7 μB per formula unit


- What is the total magnetization in the fifth record?
  15.6 μB per formula unit